# 1
Sr2GaSiRh | PBE | relaxed

Unit cell a=5.923 b=4.380 c=5.923 alpha=90.00 beta=90.00 gamma=90.00
Each line ends with the local moment (μB).
Fractional positions:
Rh: 0.500 0.500 0.500  0.67
Sr: 0.000 0.000 0.500  -0.01
Sr: 0.500 0.000 0.000  -0.02
Ga: 0.000 0.000 0.000  -0.01
Si: 0.000 0.500 0.000  0.01

Values from the calculation:
- calculated volume (Å³/cell) = 153.6
- size of the total moment (μB/atom) = 0.11
- formation energy (no corrections) (eV per atom) = 0.445

=====

# 2
Sr2GaSi2Rh5 | PBE | relaxed

Unit cell a=3.220 b=10.305 c=10.305 alpha=90.00 beta=90.00 gamma=90.00
Fractional positions:
Si: 0.000 0.126 0.626
Si: 0.000 0.626 0.874
Si: 0.000 0.874 0.374
Si: 0.000 0.374 0.126
Sr: 0.000 0.175 0.325
Sr: 0.000 0.675 0.175
Sr: 0.000 0.825 0.675
Sr: 0.000 0.325 0.825
Rh: 0.500 0.566 0.710
Rh: 0.500 0.790 0.934
Rh: 0.500 0.210 0.066
Rh: 0.500 0.290 0.566
Rh: 0.500 0.000 0.500
Rh: 0.500 0.066 0.790
Rh: 0.500 0.434 0.290
Rh: 0.500 0.710 0.434
Rh: 0.500 0.500 0.000
Rh: 0.500 0.934 0.210
Ga: 0.000 0.000 0.000
Ga: 0.000 0.500 0.500

Values from the calculation:
- calculated volume (Å³/cell) = 342.0
- size of the total moment (μB/atom) = 0.00
- formation energy (no corrections) (eV per atom) = -0.650

=====

# 3
Tb2Ga2SiRh5 | PBE | relaxed

Unit cell a=3.453 b=9.794 c=9.794 alpha=90.00 beta=90.00 gamma=90.00
Fractional positions:
Rh: 0.500 0.936 0.196
Rh: 0.500 0.696 0.436
Rh: 0.500 0.304 0.564
Rh: 0.500 0.500 0.000
Rh: 0.500 0.436 0.304
Rh: 0.500 0.804 0.936
Rh: 0.500 0.000 0.500
Rh: 0.500 0.064 0.804
Rh: 0.500 0.196 0.064
Rh: 0.500 0.564 0.696
Ga: 0.000 0.627 0.873
Ga: 0.000 0.127 0.627
Ga: 0.000 0.373 0.127
Ga: 0.000 0.873 0.373
Si: 0.000 0.500 0.500
Si: 0.000 0.000 0.000
Tb: 0.000 0.172 0.328
Tb: 0.000 0.672 0.172
Tb: 0.000 0.328 0.828
Tb: 0.000 0.828 0.672

Values from the calculation:
- calculated volume (Å³/cell) = 331.3
- size of the total moment (μB/atom) = 0.00
- formation energy (no corrections) (eV per atom) = -0.800

=====

# 4
TbGa2SiRh4 | PBE | relaxed

Unit cell a=4.324 b=4.324 c=8.111 alpha=74.54 beta=74.54 gamma=60.00
Fractional positions:
Ga: 0.752 0.752 0.745
Ga: 0.248 0.248 0.255
Rh: 0.133 0.133 0.601
Rh: 0.601 0.601 0.197
Rh: 0.867 0.867 0.399
Rh: 0.399 0.399 0.803
Si: 0.500 0.500 0.500
Tb: 0.000 0.000 0.000

Values from the calculation:
- calculated volume (Å³/cell) = 125.0
- size of the total moment (μB/atom) = 0.00
- formation energy (no corrections) (eV per atom) = -0.780

=====

# 5
GaSiTcRh | PBE | relaxed

Unit cell a=4.246 b=4.246 c=4.246 alpha=60.00 beta=60.00 gamma=60.00
Fractional positions:
Si: 0.750 0.750 0.750
Rh: 0.500 0.500 0.500
Ga: 0.250 0.250 0.250
Tc: 0.000 0.000 0.000

Values from the calculation:
- calculated volume (Å³/cell) = 54.1
- size of the total moment (μB/atom) = 0.00
- formation energy (no corrections) (eV per atom) = -0.492

=====

# 6
GaSi2TeRh | PBE | relaxed

Unit cell a=4.567 b=5.363 c=4.567 alpha=90.00 beta=90.00 gamma=90.00
Fractional positions:
Ga: 0.000 0.000 0.000
Te: 0.000 0.500 0.000
Rh: 0.500 0.500 0.500
Si: 0.000 0.000 0.500
Si: 0.500 0.000 0.000

Values from the calculation:
- calculated volume (Å³/cell) = 111.9
- size of the total moment (μB/atom) = 0.00
- formation energy (no corrections) (eV per atom) = 1.074

=====

# 7
Th3Ga2SiRh9 | PBE | relaxed

Unit cell a=6.861 b=6.861 c=7.034 alpha=90.00 beta=90.00 gamma=120.00
Fractional positions:
Rh: 0.697 0.849 0.317
Rh: 0.849 0.151 0.683
Rh: 0.151 0.303 0.317
Rh: 0.500 0.000 0.000
Rh: 0.849 0.697 0.683
Rh: 0.151 0.849 0.317
Rh: 0.500 0.500 0.000
Rh: 0.303 0.151 0.683
Rh: 0.000 0.500 0.000
Th: 0.333 0.667 0.683
Th: 0.000 0.000 0.000
Th: 0.667 0.333 0.317
Si: 0.000 0.000 0.500
Ga: 0.667 0.333 0.808
Ga: 0.333 0.667 0.192

Values from the calculation:
- calculated volume (Å³/cell) = 286.8
- size of the total moment (μB/atom) = 0.00
- formation energy (no corrections) (eV per atom) = -0.561

=====

# 8
ThGa2SiRh4 | PBE | relaxed

Unit cell a=4.232 b=4.232 c=8.817 alpha=76.11 beta=76.11 gamma=60.00
Fractional positions:
Th: 0.000 0.000 0.000
Ga: 0.242 0.242 0.274
Ga: 0.758 0.758 0.726
Rh: 0.864 0.864 0.408
Rh: 0.595 0.595 0.214
Rh: 0.136 0.136 0.592
Rh: 0.405 0.405 0.786
Si: 0.500 0.500 0.500

Values from the calculation:
- calculated volume (Å³/cell) = 131.4
- size of the total moment (μB/atom) = 0.00
- formation energy (no corrections) (eV per atom) = -0.816

=====

# 9
Th4GaSi3Rh12 | PBE | relaxed

Unit cell a=7.856 b=7.856 c=7.856 alpha=109.47 beta=109.47 gamma=109.47
Fractional positions:
Rh: 0.743 0.000 0.743
Rh: 0.750 0.250 0.500
Rh: 0.250 0.500 0.750
Rh: 0.257 0.000 0.257
Rh: 0.257 0.257 0.000
Rh: 0.750 0.500 0.250
Rh: 0.000 0.743 0.743
Rh: 0.000 0.257 0.257
Rh: 0.743 0.743 0.000
Rh: 0.500 0.250 0.750
Rh: 0.250 0.750 0.500
Rh: 0.500 0.750 0.250
Th: 0.500 0.500 0.500
Th: 0.000 0.500 0.000
Th: 0.500 0.000 0.000
Th: 0.000 0.000 0.500
Si: 0.000 0.500 0.500
Si: 0.500 0.000 0.500
Si: 0.500 0.500 0.000
Ga: 0.000 0.000 0.000

Values from the calculation:
- calculated volume (Å³/cell) = 373.2
- size of the total moment (μB/atom) = 0.00
- formation energy (no corrections) (eV per atom) = -0.622

=====

# 10
Tm2Ga2SiRh5 | PBE | relaxed

Unit cell a=3.437 b=9.716 c=9.716 alpha=90.00 beta=90.00 gamma=90.00
Fractional positions:
Tm: 0.000 0.171 0.329
Tm: 0.000 0.829 0.671
Tm: 0.000 0.329 0.829
Tm: 0.000 0.671 0.171
Rh: 0.500 0.804 0.935
Rh: 0.500 0.935 0.196
Rh: 0.500 0.565 0.696
Rh: 0.500 0.196 0.065
Rh: 0.500 0.435 0.304
Rh: 0.500 0.500 0.000
Rh: 0.500 0.304 0.565
Rh: 0.500 0.065 0.804
Rh: 0.500 0.696 0.435
Rh: 0.500 0.000 0.500
Si: 0.000 0.000 0.000
Si: 0.000 0.500 0.500
Ga: 0.000 0.128 0.628
Ga: 0.000 0.372 0.128
Ga: 0.000 0.628 0.872
Ga: 0.000 0.872 0.372

Values from the calculation:
- calculated volume (Å³/cell) = 324.4
- size of the total moment (μB/atom) = 0.00
- formation energy (no corrections) (eV per atom) = -0.835

=====

# 11
U2GaSi3Rh4 | PBE | relaxed

Unit cell a=4.078 b=4.078 c=10.146 alpha=90.00 beta=90.00 gamma=90.00
Each line ends with the local moment (μB).
Fractional positions:
Si: 0.500 0.000 0.873  -0.01
Si: 0.000 0.500 0.127  -0.01
Si: 0.000 0.000 0.500  -0.02
Rh: 0.000 0.000 0.000  -0.04
Rh: 0.500 0.000 0.641  -0.09
Rh: 0.500 0.500 0.000  -0.04
Rh: 0.000 0.500 0.359  -0.09
U: 0.500 0.000 0.255  1.96
U: 0.000 0.500 0.745  1.96
Ga: 0.500 0.500 0.500  0.00

Values from the calculation:
- calculated volume (Å³/cell) = 168.7
- size of the total moment (μB/atom) = 0.39
- formation energy (no corrections) (eV per atom) = -0.715

=====

# 12
Y2GaSi4Rh3 | PBE | relaxed

Unit cell a=4.094 b=4.094 c=10.129 alpha=90.00 beta=90.00 gamma=90.00
Fractional positions:
Si: 0.500 0.500 0.000
Si: 0.000 0.000 0.000
Si: 0.000 0.500 0.355
Si: 0.500 0.000 0.645
Ga: 0.500 0.500 0.500
Y: 0.500 0.000 0.242
Y: 0.000 0.500 0.758
Rh: 0.000 0.000 0.500
Rh: 0.500 0.000 0.877
Rh: 0.000 0.500 0.123

Values from the calculation:
- calculated volume (Å³/cell) = 169.8
- size of the total moment (μB/atom) = 0.00
- formation energy (no corrections) (eV per atom) = -0.901